## Nd2CoCu2 (PBE)

Data for a geometry-optimized Nd2CoCu2 structure.

Lattice parameters (Å, degrees): 10.626 3.978 11.262 90.00 118.11 90.00
Space group C2/m (No. 12)
One atom of each set of equivalent atoms:
Nd  0.090  0.000  0.383
Nd  0.203  0.500  0.141
Co  0.074  0.500  0.810
Cu  0.042  0.000  0.916
Cu  0.119  0.500  0.615

energy relative to the elements	-0.1210	eV/atom
crystal system	monoclinic

---

## Nd2Co5Cu5 (PBE)

Data for a geometry-optimized Nd2Co5Cu5 structure.

Lattice parameters (Å, degrees): 4.055 5.085 8.602 90.00 90.00 90.00
Space group Pmmm (No. 47)
One atom of each set of equivalent atoms:
Nd  0.000  0.000  0.000
Nd  0.000  0.500  0.500
Co  0.000  0.000  0.339
Co  0.000  0.500  0.150
Co  0.500  0.500  0.000
Cu  0.500  0.000  0.500
Cu  0.500  0.250  0.249

energy relative to the elements	-0.0210	eV/atom
crystal system	orthorhombic

---

## Nd4Co3Cu (PBE)

Data for a geometry-optimized Nd4Co3Cu structure.

Lattice parameters (Å, degrees): 4.041 4.047 11.062 90.00 90.00 90.00
Space group Pmm2 (No. 25)
One atom of each set of equivalent atoms:
Nd  0.000  0.000  0.000
Nd  0.000  0.500  0.493
Nd  0.500  0.000  0.279
Nd  0.500  0.500  0.773
Co  0.000  0.000  0.685
Co  0.000  0.500  0.206
Co  0.500  0.000  0.584
Cu  0.500  0.500  0.074

energy relative to the elements	-0.0746	eV/atom
crystal system	orthorhombic

---

## Nd2CoCu3 (PBE)

Data for a geometry-optimized Nd2CoCu3 structure.

Lattice parameters (Å, degrees): 3.874 4.172 7.287 90.00 90.00 90.00
Space group Pmm2 (No. 25)
One atom of each set of equivalent atoms:
Nd  0.000  0.000  0.000
Nd  0.000  0.500  0.471
Co  0.500  0.000  0.313
Cu  0.500  0.000  0.642
Cu  0.500  0.500  0.153
Cu  0.500  0.500  0.818

energy relative to the elements	-0.1290	eV/atom
crystal system	orthorhombic

---

## Nd8Co2Cu (PBE)

Data for a geometry-optimized Nd8Co2Cu structure.

Lattice parameters (Å, degrees): 8.690 11.843 6.497 90.00 108.12 90.00
Space group Cm (No. 8)
One atom of each set of equivalent atoms:
Nd  0.000  0.000  0.000
Nd  0.069  0.362  0.835
Nd  0.147  0.145  0.568
Nd  0.231  0.500  0.425
Nd  0.355  0.201  0.187
Co  0.363  0.315  0.722
Cu  0.377  0.000  0.438

energy relative to the elements	0.0437	eV/atom
crystal system	monoclinic

---

## NdCoCu (PBE)

Data for a geometry-optimized NdCoCu structure.

Lattice parameters (Å, degrees): 3.867 15.703 3.840 90.00 90.00 90.00
Space group Cmcm (No. 63)
One atom of each set of equivalent atoms:
Nd  0.000  0.110  0.250
Co  0.000  0.463  0.250
Cu  0.000  0.298  0.250

energy relative to the elements	-0.0197	eV/atom
crystal system	orthorhombic

---

## Nd5Co2Cu (PBE)

Data for a geometry-optimized Nd5Co2Cu structure.

Lattice parameters (Å, degrees): 7.774 7.774 13.309 90.00 90.00 90.00
Space group I4/mcm (No. 140)
One atom of each set of equivalent atoms:
Nd  0.000  0.000  0.000
Nd  0.164  0.336  0.136
Co  0.129  0.371  0.500
Cu  0.000  0.000  0.250

energy relative to the elements	-0.0621	eV/atom
crystal system	tetragonal

---

## Nd7Co2Cu2 (PBE)

Data for a geometry-optimized Nd7Co2Cu2 structure.

Lattice parameters (Å, degrees): 7.470 11.454 6.999 90.00 90.00 90.00
Space group Cmmm (No. 65)
One atom of each set of equivalent atoms:
Nd  0.000  0.000  0.000
Nd  0.000  0.500  0.251
Nd  0.250  0.250  0.259
Co  0.000  0.308  0.000
Cu  0.162  0.000  0.500

energy relative to the elements	0.0294	eV/atom
crystal system	orthorhombic

---

## Nd2CoCu (PBE)

Data for a geometry-optimized Nd2CoCu structure.

Lattice parameters (Å, degrees): 3.504 3.504 7.203 90.00 90.00 90.00
Space group P4/mmm (No. 123)
One atom of each set of equivalent atoms:
Nd  0.000  0.000  0.239
Co  0.500  0.500  0.000
Cu  0.500  0.500  0.500

energy relative to the elements	-0.0490	eV/atom
crystal system	tetragonal
excess energy over the best structure of this formula in the dataset	73	meV/atom

---

## NdCoCu (PBE)

Data for a geometry-optimized NdCoCu structure.

Lattice parameters (Å, degrees): 4.1422 4.1422 3.8783 90.00 90.00 120.00
Space group P-6m2 (No. 187)
One atom of each set of equivalent atoms:
Nd  0.0000  0.0000  0.0000
Co  0.6667  0.3333  0.5000
Cu  0.3333  0.6667  0.5000

energy relative to the elements	-0.0373	eV/atom
crystal system	hexagonal

---

## Nd3Co7Cu2 (PBE)

Data for a geometry-optimized Nd3Co7Cu2 structure.

Lattice parameters (Å, degrees): 5.0339 5.0339 25.3806 90.00 90.00 120.00
Space group R-3m (No. 166, hexagonal axes)
One atom of each set of equivalent atoms:
Nd  0.0000  0.0000  0.0000
Nd  0.0000  0.0000  0.1392
Co  0.0000  0.0000  0.5000
Co  0.0022  0.5011  0.0814
Cu  0.0000  0.0000  0.3331

energy relative to the elements	-0.0557	eV/atom
crystal system	trigonal

---

## Nd2CoCu (PBE)

Data for a geometry-optimized Nd2CoCu structure.

Lattice parameters (Å, degrees): 5.715 4.289 7.842 90.00 110.46 90.00
Space group P2_1/m (No. 11)
One atom of each set of equivalent atoms:
Nd  0.218  0.250  0.437
Nd  0.227  0.250  0.924
Co  0.364  0.750  0.719
Cu  0.361  0.750  0.216

energy relative to the elements	-0.1219	eV/atom
crystal system	monoclinic
excess energy over the best structure of this formula in the dataset	0	meV/atom